Record 1
Compound: USnRu2
Source: Alexandria
Functional: PBE
Structure: relaxed

Unit cell a=4.4919 b=4.4919 c=3.6021 alpha=90.00 beta=90.00 gamma=90.00
Last column: nearest neighbours and their distance in Å.
Atoms (fractional coordinates):
U: 0.0000 0.0000 0.0000  8 Ru 2.88, 4 Sn 3.18
Sn: 0.5000 0.5000 0.0000  8 Ru 2.88, 4 U 3.18
Ru: 0.0000 0.5000 0.5000  4 Sn 2.88, 4 U 2.88, 4 Ru 3.18
Ru: 0.5000 0.0000 0.5000  4 Sn 2.88, 4 U 2.88, 4 Ru 3.18

## Properties
- Space-group type: P4/mmm, No. 123
- Final energy: -8.686 eV per atom
- Spin magnetization: 1.5 μB/f.u.

Record 2
Compound: USnRu2
Source: Alexandria
Functional: PBE
Structure: relaxed

Unit cell a=3.2098 b=3.2098 c=6.9908 alpha=90.00 beta=90.00 gamma=90.00
Last column: nearest neighbours and their distance in Å.
Atoms (fractional coordinates):
U: 0.0000 0.0000 0.0000  8 Ru 2.93, 4 U 3.21
Sn: 0.0000 0.0000 0.5000  8 Ru 2.80
Ru: 0.5000 0.5000 0.2656  4 Sn 2.80, 4 U 2.93
Ru: 0.5000 0.5000 0.7344  4 Sn 2.80, 4 U 2.93

## Properties
- Space-group type: P4/mmm, No. 123
- Final energy: -8.605 eV per atom
- Spin magnetization: 1.8 μB/f.u.

Record 3
Compound: U2Sn5Ru4
Source: Alexandria
Functional: PBE
Structure: relaxed

Unit cell a=10.2284 b=10.2284 c=7.7267 alpha=100.75 beta=100.75 gamma=18.11
Last column: nearest neighbours and their distance in Å.
Atoms (fractional coordinates):
U: 0.0976 0.0976 0.4140  2 Ru 2.32-2.37
U: 0.9024 0.9024 0.5860  2 Ru 2.32-2.37
Sn: 0.0000 0.0000 0.0000  4 Ru 2.92, 2 Sn 3.22
Sn: 0.2509 0.2509 0.6861  2 Ru 2.77
Sn: 0.3613 0.3613 0.1428  4 Ru 2.74-2.82
Sn: 0.6387 0.6387 0.8572  4 Ru 2.74-2.82
Sn: 0.7491 0.7491 0.3139  2 Ru 2.77
Ru: 0.0434 0.0434 0.6605  1 U 2.37
Ru: 0.1429 0.1429 0.1592  1 U 2.32
Ru: 0.8571 0.8571 0.8408  1 U 2.32
Ru: 0.9566 0.9566 0.3395  1 U 2.37

## Properties
- Space-group type: C2/m, No. 12
- Final energy: -7.235 eV per atom
- Spin magnetization: 2.4 μB/f.u.